[1]
VASP calculation (PBE-GGA) on a geometry-optimized LiAcTiN3 structure.

## Properties
Density of states at the Fermi level: 6.9 states/eV/cell
V: 13.20 Å³ per atom
Energy relative to the elements, uncorrected: -949 meV per atom

Cell lengths 5.8971, 5.8971, 5.4586 Å; angles 90.00, 90.00, 123.44 degrees
Fractional positions:
Li: 0.0711 0.9289 0.7500
Li: 0.9289 0.0711 0.2500
Ac: 0.2192 0.7808 0.2500
Ac: 0.7808 0.2192 0.7500
Ti: 0.4495 0.5505 0.7500
Ti: 0.5505 0.4495 0.2500
N: 0.2533 0.2533 0.0000
N: 0.2533 0.2533 0.5000
N: 0.2665 0.7335 0.7500
N: 0.7335 0.2665 0.2500
N: 0.7467 0.7467 0.0000
N: 0.7467 0.7467 0.5000

[2]
VASP calculation (PBE-GGA) on a geometry-optimized CaAl2B structure.

## Properties
DFT formation energy: 400 meV per atom
Density of states at the Fermi level: 3.7 states/eV/cell
V: 23.66 Å³ per atom

Cell lengths 6.3969, 6.3969, 6.3969 Å; angles 118.42, 118.42, 92.76 degrees
Fractional positions:
Ca: 0.0000 0.0000 0.0000
Ca: 0.7500 0.2500 0.5000
Al: 0.2991 0.6250 0.1741
Al: 0.3750 0.5491 0.6741
Al: 0.4509 0.1250 0.8259
Al: 0.8750 0.7009 0.3259
B: 0.2500 0.7500 0.5000
B: 0.5000 0.5000 0.0000

no.,spin magnetization (μB per atom)
1,0.000
2,0.000